# PBE Dy9YSc2, optimized geometry
# * energy of formation: 0.04 eV/atom
# * mass density: 7.50 g/cm3
# * density of states at the Fermi level: 18.39 states/eV per cell
data_Dy9YSc2
_chemical_formula_sum 'Dy9 Y1 Sc2'
_symmetry_space_group_name_H-M 'P 1'
_symmetry_Int_Tables_number 1
_cell_length_a 4.952
_cell_length_b 4.952
_cell_length_c 14.815
_cell_angle_alpha 90.00
_cell_angle_beta 90.00
_cell_angle_gamma 90.00
loop_
_symmetry_equiv_pos_as_xyz
'x,y,z'
loop_
_atom_site_label
_atom_site_fract_x
_atom_site_fract_y
_atom_site_fract_z
_atom_site_occupancy
Dy1 0.000 0.000 0.000 1
Dy2 0.000 0.000 0.336 1
Dy3 0.000 0.000 0.664 1
Dy4 0.000 0.500 0.172 1
Dy5 0.000 0.500 0.500 1
Dy6 0.000 0.500 0.828 1
Dy7 0.500 0.000 0.172 1
Dy8 0.500 0.000 0.500 1
Dy9 0.500 0.000 0.828 1
Y1 0.500 0.500 0.000 1
Sc1 0.500 0.500 0.336 1
Sc2 0.500 0.500 0.664 1